BaSr2HfC | PBE | optimized geometry

Calculated values
Raw total energy   -3.9178 eV/atom
E_form   0.97 eV per atom
Symmetry   No. 123

Lattice parameters (Å, degrees): 5.5275 5.5941 5.5275 90.00 90.00 90.00
Last column: magnetic moment on the atom in μB.
Atoms (fractional coordinates):
1 Ba 0.0000 0.5000 0.0000  0.10
2 Hf 0.5000 0.5000 0.5000  1.25
3 Sr 0.0000 0.0000 0.5000  0.06
4 Sr 0.5000 0.0000 0.0000  0.09
5 C 0.0000 0.0000 0.0000  -0.04